SrLiNd2Hg4: relaxed, PBE.

a b c (Å): 9.4682 9.4682 9.4682
angles (deg): 32.58 32.58 32.58
With the nearest neighbours (Å) after each atom.
Sites, in units of the cell vectors:
Sr (0.0000, 0.0000, 0.0000)  8 Hg 3.39
Li (0.5000, 0.5000, 0.5000)  8 Hg 3.04-3.25
Nd (0.2433, 0.2433, 0.2433)  7 Hg 3.14-3.22
Nd (0.7567, 0.7567, 0.7567)  7 Hg 3.14-3.22
Hg (0.1263, 0.1263, 0.1263)  4 Nd 3.14-3.22, 3 Li 3.25, 1 Sr 3.39
Hg (0.3868, 0.3868, 0.3868)  1 Li 3.04, 3 Nd 3.22, 3 Sr 3.39
Hg (0.6132, 0.6132, 0.6132)  1 Li 3.04, 3 Nd 3.22, 3 Sr 3.39
Hg (0.8737, 0.8737, 0.8737)  4 Nd 3.14-3.22, 3 Li 3.25, 1 Sr 3.39

Values from the calculation:
Energy relative to the elements (eV/atom): -0.44
Total DFT energy (no corrections) (eV per atom): -2.234
DOS at the Fermi energy (states/eV/f.u.): 5.19

***

SrLi2NdHg4: relaxed, PBE.

a b c (Å): 9.4656 9.4656 9.4656
angles (deg): 31.36 31.36 31.36
With the nearest neighbours (Å) after each atom.
Sites, in units of the cell vectors:
Sr (0.0000, 0.0000, 0.0000)  8 Hg 3.26-3.33
Li (0.2446, 0.2446, 0.2446)  7 Hg 3.10-3.26
Li (0.7554, 0.7554, 0.7554)  7 Hg 3.10-3.26
Nd (0.5000, 0.5000, 0.5000)  8 Hg 3.11-3.17
Hg (0.1236, 0.1236, 0.1236)  4 Li 3.10-3.26, 3 Nd 3.17, 1 Sr 3.33
Hg (0.3848, 0.3848, 0.3848)  1 Nd 3.11, 3 Li 3.12, 3 Sr 3.26
Hg (0.6152, 0.6152, 0.6152)  1 Nd 3.11, 3 Li 3.12, 3 Sr 3.26
Hg (0.8764, 0.8764, 0.8764)  4 Li 3.10-3.26, 3 Nd 3.17, 1 Sr 3.33

Values from the calculation:
Energy relative to the elements (eV/atom): -0.42
Total DFT energy (no corrections) (eV per atom): -1.855
DOS at the Fermi energy (states/eV/f.u.): 4.72

***

Sr3Li2Nd2Hg4: relaxed, PBE.

a b c (Å): 5.1898 5.1898 15.1051
angles (deg): 90.00 90.00 120.00
With the nearest neighbours (Å) after each atom.
Sites, in units of the cell vectors:
Sr (0.0000, 0.0000, 0.0000)  6 Hg 3.60, 6 Li 3.72, 2 Sr 3.95
Sr (0.0000, 0.0000, 0.2616)  6 Hg 3.36-3.58, 3 Li 3.46
Sr (0.0000, 0.0000, 0.7384)  6 Hg 3.36-3.58, 3 Li 3.46
Li (0.3333, 0.6667, 0.1465)  4 Hg 3.00-3.25
Li (0.6667, 0.3333, 0.8535)  4 Hg 3.00-3.25
Nd (0.3333, 0.6667, 0.5680)  4 Hg 3.11-3.18
Nd (0.6667, 0.3333, 0.4320)  4 Hg 3.11-3.18
Hg (0.3333, 0.6667, 0.3619)  4 Nd 3.11-3.18, 1 Li 3.25, 3 Sr 3.36
Hg (0.3333, 0.6667, 0.8683)  3 Li 3.00
Hg (0.6667, 0.3333, 0.1317)  3 Li 3.00
Hg (0.6667, 0.3333, 0.6381)  4 Nd 3.11-3.18, 1 Li 3.25, 3 Sr 3.36

Values from the calculation:
Energy relative to the elements (eV/atom): -0.27
Total DFT energy (no corrections) (eV per atom): -2.055
DOS at the Fermi energy (states/eV/f.u.): 9.75

***

LiTbNd2Hg4: relaxed, PBE.

a b c (Å): 9.2118 9.2118 9.2118
angles (deg): 33.13 33.13 33.13
With the nearest neighbours (Å) after each atom.
Sites, in units of the cell vectors:
Li (0.0000, 0.0000, 0.0000)  8 Hg 3.22-3.28
Tb (0.5000, 0.5000, 0.5000)  8 Hg 3.22-3.27
Nd (0.2547, 0.2547, 0.2547)  8 Hg 3.14-3.37
Nd (0.7453, 0.7453, 0.7453)  8 Hg 3.14-3.37
Hg (0.1256, 0.1256, 0.1256)  3 Tb 3.22, 4 Nd 3.27-3.37, 1 Li 3.28
Hg (0.3748, 0.3748, 0.3748)  4 Nd 3.14-3.18, 3 Li 3.22, 1 Tb 3.27
Hg (0.6252, 0.6252, 0.6252)  4 Nd 3.14-3.18, 3 Li 3.22, 1 Tb 3.27
Hg (0.8744, 0.8744, 0.8744)  3 Tb 3.22, 4 Nd 3.27-3.37, 1 Li 3.28

Values from the calculation:
Energy relative to the elements (eV/atom): -0.45
Total DFT energy (no corrections) (eV per atom): -2.614
DOS at the Fermi energy (states/eV/f.u.): 7.81

***

LiNdTlHg: relaxed, PBE.

a b c (Å): 7.3628 7.3628 7.3628
angles (deg): 90.00 90.00 90.00
With the nearest neighbours (Å) after each atom.
Sites, in units of the cell vectors:
Li (0.0000, 0.0000, 0.0000)  4 Hg 3.19, 4 Tl 3.19
Li (0.0000, 0.5000, 0.5000)  4 Hg 3.19, 4 Tl 3.19
Li (0.5000, 0.0000, 0.5000)  4 Hg 3.19, 4 Tl 3.19
Li (0.5000, 0.5000, 0.0000)  4 Hg 3.19, 4 Tl 3.19
Nd (0.0000, 0.0000, 0.5000)  4 Tl 3.19, 4 Hg 3.19
Nd (0.0000, 0.5000, 0.0000)  4 Tl 3.19, 4 Hg 3.19
Nd (0.5000, 0.0000, 0.0000)  4 Tl 3.19, 4 Hg 3.19
Nd (0.5000, 0.5000, 0.5000)  4 Tl 3.19, 4 Hg 3.19
Tl (0.2500, 0.2500, 0.7500)  4 Li 3.19, 4 Nd 3.19
Tl (0.2500, 0.7500, 0.2500)  4 Li 3.19, 4 Nd 3.19
Tl (0.7500, 0.2500, 0.2500)  4 Li 3.19, 4 Nd 3.19
Tl (0.7500, 0.7500, 0.7500)  4 Li 3.19, 4 Nd 3.19
Hg (0.2500, 0.2500, 0.2500)  4 Li 3.19, 4 Nd 3.19
Hg (0.2500, 0.7500, 0.7500)  4 Li 3.19, 4 Nd 3.19
Hg (0.7500, 0.2500, 0.7500)  4 Li 3.19, 4 Nd 3.19
Hg (0.7500, 0.7500, 0.2500)  4 Li 3.19, 4 Nd 3.19

Values from the calculation:
Energy relative to the elements (eV/atom): -0.40
Total DFT energy (no corrections) (eV per atom): -2.740
DOS at the Fermi energy (states/eV/f.u.): 2.46

***

LiNd2TlHg4: relaxed, PBE.

a b c (Å): 8.9759 8.9759 8.9759
angles (deg): 33.85 33.85 33.85
With the nearest neighbours (Å) after each atom.
Sites, in units of the cell vectors:
Li (0.0000, 0.0000, 0.0000)  8 Hg 2.91-3.14
Nd (0.2450, 0.2450, 0.2450)  8 Hg 3.09-3.32
Nd (0.7550, 0.7550, 0.7550)  8 Hg 3.09-3.32
Tl (0.5000, 0.5000, 0.5000)  8 Hg 3.29-3.36, 6 Nd 3.61
Hg (0.1149, 0.1149, 0.1149)  1 Li 2.91, 3 Nd 3.09
Hg (0.3675, 0.3675, 0.3675)  4 Nd 3.11-3.32, 3 Li 3.14, 1 Tl 3.36
Hg (0.6325, 0.6325, 0.6325)  4 Nd 3.11-3.32, 3 Li 3.14, 1 Tl 3.36
Hg (0.8851, 0.8851, 0.8851)  1 Li 2.91, 3 Nd 3.09

Values from the calculation:
Energy relative to the elements (eV/atom): -0.42
Total DFT energy (no corrections) (eV per atom): -2.298
DOS at the Fermi energy (states/eV/f.u.): 3.35

***

Look up the total DFT energy (no corrections) of the fourth one.
-2.614 eV per atom